Below is TaWNO6 after structural relaxation, with properties calculated at the PBE+U level. Values from VASP.

Summary:
Calculated total energy in eV per atom: -7.62
Crystal system: orthorhombic

Cell and atoms, written as Quantum ESPRESSO input:
```
&SYSTEM
  ibrav = 0, nat = 18, ntyp = 4
/
ATOMIC_SPECIES
Ta 180.95 Ta.upf
W 183.84 W.upf
N 14.01 N.upf
O 16.00 O.upf
CELL_PARAMETERS angstrom
-3.706 3.758 5.272
3.706 -3.758 5.272
3.706 3.758 -5.272
ATOMIC_POSITIONS angstrom
Ta 0.000 0.000 0.000
Ta 0.000 3.758 0.000
W -1.853 1.879 2.636
W 1.853 1.879 2.636
N 3.706 1.879 -1.325
N 0.000 1.879 6.597
O 3.706 -1.879 4.652
O 1.380 0.532 1.334
O 6.033 0.532 1.334
O 3.706 1.879 2.038
O 1.380 4.290 -1.334
O 2.327 0.532 3.939
O 1.380 3.226 1.334
O 2.327 -0.532 6.606
O 0.000 1.879 3.234
O -2.327 3.226 3.939
O 2.327 3.226 3.939
O 0.000 5.637 0.621
```